Material: Tb3Pm4Tm3
Method: DFT, PBE-GGA
State: relaxed

Unit cell a=3.7876 b=9.2876 c=9.2876 alpha=89.88 beta=90.00 gamma=90.00
Last column: nearest neighbours and their distance in Å.
Fractional positions:
1 Tb 0.5000 0.1686 0.8314  6 Pm 3.26-3.39
2 Tb 0.0000 0.9987 0.4981  4 Pm 3.62-3.66, 4 Tb 3.79-3.96, 6 Tm 3.92-3.94
3 Tb 0.0000 0.5019 0.0013  4 Pm 3.62-3.66, 4 Tb 3.79-3.96, 6 Tm 3.92-3.94
4 Tm 0.5000 0.6688 0.6684  6 Pm 3.25-3.38
5 Tm 0.5000 0.8312 0.1688  6 Pm 3.25-3.38
6 Tm 0.5000 0.3316 0.3312  6 Pm 3.25-3.38
7 Pm 0.0000 0.3705 0.6295  2 Tb 3.26, 4 Tm 3.38, 1 Pm 3.40
8 Pm 0.0000 0.6300 0.3700  6 Tm 3.25-3.38, 1 Pm 3.40, 2 Tb 3.63
9 Pm 0.0000 0.8687 0.8701  4 Tm 3.25-3.38, 3 Tb 3.39-3.62, 1 Pm 3.44
10 Pm 0.0000 0.1299 0.1313  4 Tm 3.25-3.38, 3 Tb 3.39-3.62, 1 Pm 3.44

Computed properties:
**Final energy**: -45.36 eV for the cell shown

Material: TbPm12Tm5
Method: DFT, PBE-GGA
State: relaxed

Unit cell a=12.1518 b=10.4414 c=5.7558 alpha=90.01 beta=90.01 gamma=54.42
Last column: nearest neighbours and their distance in Å.
Fractional positions:
1 Pm 0.6707 0.3605 0.9973  7 Pm 3.41-3.78, 3 Tm 3.47-3.62, 1 Tb 3.56
2 Pm 0.7978 0.0000 0.5301  2 Pm 3.11-3.12, 2 Tm 3.37
3 Pm 0.8291 0.6401 0.4974  7 Pm 3.42-3.78, 4 Tm 3.47-3.62
4 Pm 0.2022 0.0000 0.4699  2 Pm 3.11-3.12, 2 Tm 3.37
5 Pm 0.3007 0.0000 0.9705  2 Pm 3.11-3.12, 2 Tm 3.34
6 Pm 0.3293 0.6395 0.0027  7 Pm 3.41-3.78, 3 Tm 3.47-3.62, 1 Tb 3.56
7 Pm 0.5309 0.6401 0.5026  7 Pm 3.42-3.78, 4 Tm 3.47-3.62
8 Pm 0.4691 0.3599 0.4974  7 Pm 3.42-3.78, 4 Tm 3.47-3.62
9 Pm 0.0311 0.6395 0.9973  7 Pm 3.41-3.78, 3 Tm 3.47-3.62, 1 Tb 3.56
10 Pm 0.6993 0.0000 0.0295  2 Pm 3.11-3.12, 2 Tm 3.34
11 Pm 0.1710 0.3599 0.5026  7 Pm 3.42-3.78, 4 Tm 3.47-3.62
12 Pm 0.9689 0.3605 0.0027  7 Pm 3.41-3.78, 3 Tm 3.47-3.62, 1 Tb 3.56
13 Tm 0.6350 0.7300 0.0000  8 Pm 3.34-3.62, 2 Tm 3.68
14 Tm 0.1354 0.7292 0.5000  8 Pm 3.37-3.62, 2 Tb 3.68
15 Tm 0.8646 0.2708 0.5000  8 Pm 3.37-3.62, 2 Tb 3.68
16 Tm 0.5000 0.0000 0.5000  10 Pm 3.55-3.89, 4 Tm 3.68
17 Tm 0.3650 0.2700 0.0000  8 Pm 3.34-3.62, 2 Tm 3.68
18 Tb 0.0000 0.0000 0.0000  10 Pm 3.56-3.92, 4 Tm 3.68

Computed properties:
**Final energy**: -82.54 eV for the cell shown

Here are the calculated magnetization numbers, same order: 0.00, 0.00 (Bohr magnetons per cell).